(1)
Below is an optimized crystal structure of Sm2PuGa6, with properties calculated at the GGA-PBE level.

Summary:
energy relative to the elements = -0.55 eV/atom
V = 22.0 Å³ per atom
density of states at the Fermi level = 1.872 states/eV per atom
relative energy among the computed polymorphs = 0 meV/atom
raw total energy = -5.2095 eV/atom
symmetry = No. 191

The structure in POSCAR format:
```
Sm2PuGa6
1.0
7.3841 0.0000 0.0000
-3.6921 6.3948 0.0000
0.0000 0.0000 4.1872
Sm Pu Ga
2 1 6
Direct
0.3333 0.6667 0.0000
0.6667 0.3333 0.0000
0.0000 0.0000 0.0000
0.0000 0.3331 0.5000
0.0000 0.6669 0.5000
0.3331 0.0000 0.5000
0.3331 0.3331 0.5000
0.6669 0.0000 0.5000
0.6669 0.6669 0.5000
```

(2)
Below is an optimized crystal structure of SmPuGa3, with properties calculated at the GGA-PBE level.

Summary:
energy relative to the elements = -0.48 eV/atom
V = 22.1 Å³ per atom
density of states at the Fermi level = 1.641 states/eV per atom
raw total energy = -6.1108 eV/atom
symmetry = No. 63

The structure in POSCAR format:
```
SmPuGa3
1.0
1.8299 -13.6635 0.0000
1.8299 13.6635 0.0000
0.0000 0.0000 4.4130
Sm Pu Ga
2 2 6
Direct
0.0714 0.9286 0.7500
0.9286 0.0714 0.2500
0.2139 0.7861 0.2500
0.7861 0.2139 0.7500
0.3295 0.6705 0.2500
0.3806 0.6194 0.7500
0.4759 0.5241 0.7500
0.5241 0.4759 0.2500
0.6194 0.3806 0.2500
0.6705 0.3295 0.7500
```

(3)
Below is an optimized crystal structure of SmPuGa6, with properties calculated at the GGA-PBE level.

Summary:
energy relative to the elements = -0.47 eV/atom
V = 19.8 Å³ per atom
density of states at the Fermi level = 1.286 states/eV per atom
raw total energy = -5.1234 eV/atom
symmetry = No. 187

The structure in POSCAR format:
```
SmPuGa6
1.0
6.2926 0.0000 0.0000
-3.1463 5.4495 0.0000
0.0000 0.0000 4.6247
Sm Pu Ga
1 1 6
Direct
0.0000 0.0000 0.0000
0.3333 0.6667 0.5000
0.3713 0.1857 0.5000
0.5161 0.0323 0.0000
0.5161 0.4839 0.0000
0.8143 0.1857 0.5000
0.8143 0.6287 0.5000
0.9677 0.4839 0.0000
```

(4)
Below is an optimized crystal structure of Sm2PuGa6, with properties calculated at the GGA-PBE level.

Summary:
energy relative to the elements = -0.35 eV/atom
V = 23.4 Å³ per atom
density of states at the Fermi level = 1.793 states/eV per atom
relative energy among the computed polymorphs = 197 meV/atom
raw total energy = -5.0127 eV/atom
symmetry = No. 71

The structure in POSCAR format:
```
Sm2PuGa6
1.0
-2.2007 3.5926 6.6483
2.2007 -3.5926 6.6483
2.2007 3.5926 -6.6483
Sm Pu Ga
2 1 6
Direct
0.1269 0.1269 0.0000
0.8731 0.8731 0.0000
0.5000 0.0000 0.5000
0.1281 0.3186 0.8095
0.1864 0.5000 0.6864
0.4909 0.6814 0.8095
0.5091 0.3186 0.1905
0.8136 0.5000 0.3136
0.8719 0.6814 0.1905
```

(5)
Below is an optimized crystal structure of SmPu2Ga, with properties calculated at the GGA-PBE level.

Summary:
energy relative to the elements = -0.02 eV/atom
V = 26.2 Å³ per atom
density of states at the Fermi level = 3.107 states/eV per atom
relative energy among the computed polymorphs = 125 meV/atom
raw total energy = -9.1254 eV/atom
symmetry = No. 123

The structure in POSCAR format:
```
SmPu2Ga
1.0
3.7828 0.0000 0.0000
0.0000 3.7828 0.0000
0.0000 0.0000 7.3208
Sm Pu Ga
1 2 1
Direct
0.0000 0.0000 0.0000
0.5000 0.5000 0.2979
0.5000 0.5000 0.7021
0.0000 0.0000 0.5000
```

(6)
Below is an optimized crystal structure of SmPu2Ga9, with properties calculated at the GGA-PBE level.

Summary:
energy relative to the elements = -0.32 eV/atom
V = 19.8 Å³ per atom
density of states at the Fermi level = 1.472 states/eV per atom
raw total energy = -5.3759 eV/atom
symmetry = No. 166

The structure in POSCAR format:
```
SmPu2Ga9
1.0
2.7761 1.6028 8.8927
-2.7761 1.6028 8.8927
0.0000 -3.2055 8.8927
Sm Pu Ga
1 2 9
Direct
0.0000 0.0000 0.0000
0.1420 0.1420 0.1420
0.8580 0.8580 0.8580
0.0760 0.5884 0.5884
0.3359 0.3359 0.3359
0.4116 0.4116 0.9240
0.4116 0.9240 0.4116
0.5000 0.5000 0.5000
0.5884 0.0760 0.5884
0.5884 0.5884 0.0760
0.6641 0.6641 0.6641
0.9240 0.4116 0.4116
```

(7)
Below is an optimized crystal structure of SmPu2Ga, with properties calculated at the GGA-PBE level.

Summary:
energy relative to the elements = -0.15 eV/atom
V = 25.0 Å³ per atom
density of states at the Fermi level = 2.328 states/eV per atom
relative energy among the computed polymorphs = 0 meV/atom
raw total energy = -9.2506 eV/atom
symmetry = No. 123

The structure in POSCAR format:
```
SmPu2Ga
1.0
4.4501 0.0000 0.0000
0.0000 4.4501 0.0000
0.0000 0.0000 5.0514
Sm Pu Ga
1 2 1
Direct
0.0000 0.0000 0.0000
0.0000 0.5000 0.5000
0.5000 0.0000 0.5000
0.5000 0.5000 0.0000
```

(8)
Below is an optimized crystal structure of SmPu2Ga, with properties calculated at the GGA-PBE level.

Summary:
energy relative to the elements = 0.09 eV/atom
V = 25.4 Å³ per atom
density of states at the Fermi level = 2.782 states/eV per atom
relative energy among the computed polymorphs = 237 meV/atom
raw total energy = -9.0137 eV/atom
symmetry = No. 225

The structure in POSCAR format:
```
SmPu2Ga
1.0
7.4093 0.0000 0.0000
0.0000 7.4093 0.0000
0.0000 0.0000 7.4093
Sm Pu Ga
4 8 4
Direct
0.0000 0.0000 0.0000
0.0000 0.5000 0.5000
0.5000 0.0000 0.5000
0.5000 0.5000 0.0000
0.2500 0.2500 0.2500
0.2500 0.2500 0.7500
0.2500 0.7500 0.2500
0.2500 0.7500 0.7500
0.7500 0.2500 0.2500
0.7500 0.2500 0.7500
0.7500 0.7500 0.2500
0.7500 0.7500 0.7500
0.0000 0.0000 0.5000
0.0000 0.5000 0.0000
0.5000 0.0000 0.0000
0.5000 0.5000 0.5000
```

(9)
Below is an optimized crystal structure of SmPu3Ga8, with properties calculated at the GGA-PBE level.

Summary:
energy relative to the elements = -0.41 eV/atom
V = 19.9 Å³ per atom
density of states at the Fermi level = 2.590 states/eV per atom
raw total energy = -6.4066 eV/atom
symmetry = No. 160

The structure in POSCAR format:
```
SmPu3Ga8
1.0
2.7695 1.5990 8.9913
-2.7695 1.5990 8.9913
0.0000 -3.1979 8.9913
Sm Pu Ga
1 3 8
Direct
0.0000 0.0000 0.0000
0.1276 0.1276 0.1276
0.4999 0.4999 0.4999
0.6204 0.6204 0.6204
0.0609 0.5624 0.5624
0.0619 0.0619 0.5626
0.0619 0.5626 0.0619
0.3117 0.3117 0.3117
0.5624 0.0609 0.5624
0.5624 0.5624 0.0609
0.5626 0.0619 0.0619
0.8117 0.8117 0.8117
```

(10)
Below is an optimized crystal structure of SmPuTlGa, with properties calculated at the GGA-PBE level.

Summary:
energy relative to the elements = -0.23 eV/atom
V = 26.4 Å³ per atom
density of states at the Fermi level = 2.382 states/eV per atom
raw total energy = -6.3426 eV/atom
symmetry = No. 216

The structure in POSCAR format:
```
SmPuTlGa
1.0
7.5039 0.0000 0.0000
0.0000 7.5039 0.0000
0.0000 0.0000 7.5039
Sm Pu Tl Ga
4 4 4 4
Direct
0.0000 0.0000 0.0000
0.0000 0.5000 0.5000
0.5000 0.0000 0.5000
0.5000 0.5000 0.0000
0.0000 0.0000 0.5000
0.0000 0.5000 0.0000
0.5000 0.0000 0.0000
0.5000 0.5000 0.5000
0.2500 0.2500 0.2500
0.2500 0.7500 0.7500
0.7500 0.2500 0.7500
0.7500 0.7500 0.2500
0.2500 0.2500 0.7500
0.2500 0.7500 0.2500
0.7500 0.2500 0.2500
0.7500 0.7500 0.7500
```

(11)
Below is an optimized crystal structure of PuGaSn2, with properties calculated at the GGA-PBE level.

Summary:
energy relative to the elements = 0.18 eV/atom
V = 27.0 Å³ per atom
density of states at the Fermi level = 2.127 states/eV per atom
relative energy among the computed polymorphs = 542 meV/atom
raw total energy = -6.1620 eV/atom
symmetry = No. 166

The structure in POSCAR format:
```
PuGaSn2
1.0
3.3941 0.0000 0.0000
-1.6971 2.9394 0.0000
0.0000 0.0000 32.4834
Pu Ga Sn
3 3 6
Direct
0.0000 0.0000 0.0000
0.3333 0.6667 0.6667
0.6667 0.3333 0.3333
0.0000 0.0000 0.5000
0.3333 0.6667 0.1667
0.6667 0.3333 0.8333
0.0000 0.0000 0.0979
0.0000 0.0000 0.9021
0.3333 0.6667 0.5688
0.3333 0.6667 0.7645
0.6667 0.3333 0.2355
0.6667 0.3333 0.4312
```

(12)
Below is an optimized crystal structure of Pu3GaSn, with properties calculated at the GGA-PBE level.

Summary:
energy relative to the elements = -0.05 eV/atom
V = 26.8 Å³ per atom
density of states at the Fermi level = 4.256 states/eV per atom
raw total energy = -10.0505 eV/atom
symmetry = No. 194

The structure in POSCAR format:
```
Pu3GaSn
1.0
7.5226 0.0000 0.0000
-3.7613 6.5148 0.0000
0.0000 0.0000 5.4580
Pu Ga Sn
6 2 2
Direct
0.1974 0.3949 0.2500
0.1974 0.8026 0.2500
0.3949 0.1974 0.7500
0.6051 0.8026 0.2500
0.8026 0.1974 0.7500
0.8026 0.6051 0.7500
0.0000 0.0000 0.0000
0.0000 0.0000 0.5000
0.3333 0.6667 0.7500
0.6667 0.3333 0.2500
```